Sr2Ga3Sn | PBE | optimized geometry

Geometry as CIF:
```
data_Sr2Ga3Sn
_space_group_name_H-M_alt 'P 1'
_space_group_IT_number 1
_space_group_name_Hall 'P 1'
_cell_length_a 8.5092
_cell_length_b 8.5092
_cell_length_c 8.5092
_cell_angle_alpha 149.19
_cell_angle_beta 148.53
_cell_angle_gamma 44.62
loop_
_atom_site_label
_atom_site_type_symbol
_atom_site_fract_x
_atom_site_fract_y
_atom_site_fract_z
_atom_site_occupancy
Sr1 Sr 0.0000 0.0000 0.0000 1
Sr2 Sr 0.7553 0.2553 0.5000 1
Ga1 Ga 0.1770 0.6770 0.5000 1
Ga2 Ga 0.3379 0.8379 0.5000 1
Ga3 Ga 0.4118 0.4118 0.0000 1
Sn1 Sn 0.5850 0.5850 0.0000 1
```

Output
volume: 27.371 Å³/atom
excess energy over the best structure of this formula in the dataset: 0.234 eV/f.u.
E: -19.4 eV/cell
Fermi-level density of states: 3.6 states/eV/f.u.
energy of formation from the pure elements: -0.484 eV/atom
symmetry: No. 44

---

SrGaSn3 | PBE | optimized geometry

Geometry as CIF:
```
data_SrGaSn3
_space_group_name_H-M_alt 'P 1'
_space_group_IT_number 1
_space_group_name_Hall 'P 1'
_cell_length_a 5.4355
_cell_length_b 5.4355
_cell_length_c 5.4355
_cell_angle_alpha 90.00
_cell_angle_beta 90.00
_cell_angle_gamma 90.00
loop_
_atom_site_label
_atom_site_type_symbol
_atom_site_fract_x
_atom_site_fract_y
_atom_site_fract_z
_atom_site_occupancy
Sr1 Sr 0.0000 0.0000 0.0000 1
Ga1 Ga 0.5000 0.5000 0.5000 1
Sn1 Sn 0.0000 0.5000 0.5000 1
Sn2 Sn 0.5000 0.0000 0.5000 1
Sn3 Sn 0.5000 0.5000 0.0000 1
```

Output
volume: 32.117 Å³/atom
excess energy over the best structure of this formula in the dataset: 1.288 eV/f.u.
E: -16.8 eV/cell
Fermi-level density of states: 2.6 states/eV/f.u.
energy of formation from the pure elements: -0.020 eV/atom
symmetry: No. 221

---

Sr12Ga2Sn5 | PBE | optimized geometry

Geometry as CIF:
```
data_Sr12Ga2Sn5
_space_group_name_H-M_alt 'P 1'
_space_group_IT_number 1
_space_group_name_Hall 'P 1'
_cell_length_a 10.1487
_cell_length_b 10.1487
_cell_length_c 11.3623
_cell_angle_alpha 106.84
_cell_angle_beta 106.84
_cell_angle_gamma 47.05
loop_
_atom_site_label
_atom_site_type_symbol
_atom_site_fract_x
_atom_site_fract_y
_atom_site_fract_z
_atom_site_occupancy
Sr1 Sr 0.0080 0.0080 0.1926 1
Sr2 Sr 0.0656 0.5780 0.8938 1
Sr3 Sr 0.0947 0.6028 0.4503 1
Sr4 Sr 0.3972 0.9053 0.5497 1
Sr5 Sr 0.4161 0.4161 0.2034 1
Sr6 Sr 0.4220 0.9344 0.1062 1
Sr7 Sr 0.5780 0.0656 0.8938 1
Sr8 Sr 0.5839 0.5839 0.7966 1
Sr9 Sr 0.6028 0.0947 0.4503 1
Sr10 Sr 0.9053 0.3972 0.5497 1
Sr11 Sr 0.9344 0.4220 0.1062 1
Sr12 Sr 0.9920 0.9920 0.8074 1
Ga1 Ga 0.3520 0.6480 0.0000 1
Ga2 Ga 0.6480 0.3520 0.0000 1
Sn1 Sn 0.1736 0.1736 0.8390 1
Sn2 Sn 0.1964 0.1964 0.3462 1
Sn3 Sn 0.5000 0.5000 0.5000 1
Sn4 Sn 0.8036 0.8036 0.6538 1
Sn5 Sn 0.8264 0.8264 0.1610 1
```

Output
volume: 42.777 Å³/atom
E: -54.9 eV/cell
Fermi-level density of states: 3.7 states/eV/f.u.
energy of formation from the pure elements: -0.453 eV/atom
symmetry: No. 12

---

Sr2GaSn2 | PBE | optimized geometry

Geometry as CIF:
```
data_Sr2GaSn2
_space_group_name_H-M_alt 'P 1'
_space_group_IT_number 1
_space_group_name_Hall 'P 1'
_cell_length_a 6.5918
_cell_length_b 6.5918
_cell_length_c 11.5645
_cell_angle_alpha 114.32
_cell_angle_beta 114.32
_cell_angle_gamma 43.14
loop_
_atom_site_label
_atom_site_type_symbol
_atom_site_fract_x
_atom_site_fract_y
_atom_site_fract_z
_atom_site_occupancy
Sr1 Sr 0.0021 0.0021 0.1693 1
Sr2 Sr 0.1808 0.1808 0.6095 1
Sr3 Sr 0.8192 0.8192 0.3905 1
Sr4 Sr 0.9979 0.9979 0.8307 1
Ga1 Ga 0.3049 0.3049 0.1570 1
Ga2 Ga 0.6951 0.6951 0.8430 1
Sn1 Sn 0.3388 0.3388 0.9281 1
Sn2 Sn 0.4676 0.4676 0.6118 1
Sn3 Sn 0.5324 0.5324 0.3882 1
Sn4 Sn 0.6612 0.6612 0.0719 1
```

Output
volume: 30.807 Å³/atom
excess energy over the best structure of this formula in the dataset: 0.000 eV/f.u.
E: -34.4 eV/cell
Fermi-level density of states: 1.7 states/eV/f.u.
energy of formation from the pure elements: -0.557 eV/atom
symmetry: No. 12

---

Sr2GaSn | PBE | optimized geometry

Geometry as CIF:
```
data_Sr2GaSn
_space_group_name_H-M_alt 'P 1'
_space_group_IT_number 1
_space_group_name_Hall 'P 1'
_cell_length_a 11.4964
_cell_length_b 11.4964
_cell_length_c 11.4964
_cell_angle_alpha 19.79
_cell_angle_beta 19.79
_cell_angle_gamma 19.79
loop_
_atom_site_label
_atom_site_type_symbol
_atom_site_fract_x
_atom_site_fract_y
_atom_site_fract_z
_atom_site_occupancy
Sr1 Sr 0.0987 0.0987 0.0987 1
Sr2 Sr 0.9013 0.9013 0.9013 1
Ga1 Ga 0.5000 0.5000 0.5000 1
Sn1 Sn 0.0000 0.0000 0.0000 1
```

Output
volume: 38.101 Å³/atom
excess energy over the best structure of this formula in the dataset: 2.388 eV/f.u.
E: -10.3 eV/cell
Fermi-level density of states: 4.6 states/eV/f.u.
energy of formation from the pure elements: 0.025 eV/atom
symmetry: No. 166

---

Sr3Ga4Sn2 | PBE | optimized geometry

Geometry as CIF:
```
data_Sr3Ga4Sn2
_space_group_name_H-M_alt 'P 1'
_space_group_IT_number 1
_space_group_name_Hall 'P 1'
_cell_length_a 6.6389
_cell_length_b 6.6389
_cell_length_c 9.1063
_cell_angle_alpha 97.22
_cell_angle_beta 97.22
_cell_angle_gamma 39.76
loop_
_atom_site_label
_atom_site_type_symbol
_atom_site_fract_x
_atom_site_fract_y
_atom_site_fract_z
_atom_site_occupancy
Sr1 Sr 0.0000 0.0000 0.0000 1
Sr2 Sr 0.3304 0.3304 0.3312 1
Sr3 Sr 0.6696 0.6696 0.6688 1
Ga1 Ga 0.0251 0.0251 0.3707 1
Ga2 Ga 0.2593 0.2593 0.9412 1
Ga3 Ga 0.7407 0.7407 0.0588 1
Ga4 Ga 0.9749 0.9749 0.6293 1
Sn1 Sn 0.3823 0.3823 0.7165 1
Sn2 Sn 0.6177 0.6177 0.2835 1
```

Output
volume: 28.264 Å³/atom
E: -29.9 eV/cell
Fermi-level density of states: 3.1 states/eV/f.u.
energy of formation from the pure elements: -0.524 eV/atom
symmetry: No. 12

---

SrGaSn3 | PBE | optimized geometry

Geometry as CIF:
```
data_SrGaSn3
_space_group_name_H-M_alt 'P 1'
_space_group_IT_number 1
_space_group_name_Hall 'P 1'
_cell_length_a 8.7202
_cell_length_b 8.7202
_cell_length_c 6.8878
_cell_angle_alpha 90.00
_cell_angle_beta 90.00
_cell_angle_gamma 146.06
loop_
_atom_site_label
_atom_site_type_symbol
_atom_site_fract_x
_atom_site_fract_y
_atom_site_fract_z
_atom_site_occupancy
Sr1 Sr 0.1052 0.8948 0.7500 1
Sr2 Sr 0.8948 0.1052 0.2500 1
Ga1 Ga 0.4724 0.5276 0.7500 1
Ga2 Ga 0.5276 0.4724 0.2500 1
Sn1 Sn 0.1063 0.8937 0.2500 1
Sn2 Sn 0.3040 0.6960 0.5325 1
Sn3 Sn 0.3040 0.6960 0.9675 1
Sn4 Sn 0.6960 0.3040 0.0325 1
Sn5 Sn 0.6960 0.3040 0.4675 1
Sn6 Sn 0.8937 0.1063 0.7500 1
```

Output
volume: 29.241 Å³/atom
excess energy over the best structure of this formula in the dataset: 0.146 eV/f.u.
E: -35.9 eV/cell
Fermi-level density of states: 1.8 states/eV/f.u.
energy of formation from the pure elements: -0.248 eV/atom
symmetry: No. 63

---

Sr5Ga2Sn5 | PBE | optimized geometry

Geometry as CIF:
```
data_Sr5Ga2Sn5
_space_group_name_H-M_alt 'P 1'
_space_group_IT_number 1
_space_group_name_Hall 'P 1'
_cell_length_a 8.8361
_cell_length_b 8.8361
_cell_length_c 13.0510
_cell_angle_alpha 129.06
_cell_angle_beta 129.06
_cell_angle_gamma 30.30
loop_
_atom_site_label
_atom_site_type_symbol
_atom_site_fract_x
_atom_site_fract_y
_atom_site_fract_z
_atom_site_occupancy
Sr1 Sr 0.0000 0.0000 0.0000 1
Sr2 Sr 0.3133 0.3133 0.4246 1
Sr3 Sr 0.3729 0.3729 0.1694 1
Sr4 Sr 0.6271 0.6271 0.8306 1
Sr5 Sr 0.6867 0.6867 0.5754 1
Ga1 Ga 0.3861 0.3861 0.7499 1
Ga2 Ga 0.6139 0.6139 0.2501 1
Sn1 Sn 0.0000 0.0000 0.5000 1
Sn2 Sn 0.0643 0.0643 0.3142 1
Sn3 Sn 0.2767 0.2767 0.8328 1
Sn4 Sn 0.7233 0.7233 0.1672 1
Sn5 Sn 0.9357 0.9357 0.6858 1
```

Output
volume: 32.453 Å³/atom
E: -40.9 eV/cell
Fermi-level density of states: 5.2 states/eV/f.u.
energy of formation from the pure elements: -0.537 eV/atom
symmetry: No. 12

---

Among the records above, which one has the lowest energy of formation from the pure elements? Sr2GaSn2

---

Fermi-level density of states of number 6 (Sr3Ga4Sn2)? 3.1 states/eV/f.u.

---

energy of formation from the pure elements of number 3 (Sr12Ga2Sn5)? -0.453 eV/atom